A relaxed Al2InWF crystal. Source: Alexandria, functional GGA+U.

It has space group P4/mmm (No. 123), with a = 4.288 Å, b = 4.288 Å, c = 4.699 Å, α = 90.00°, β = 90.00° and γ = 90.00°. Symmetry generates all atoms from Al at (0.000, 0.500, 0.000), In at (0.000, 0.000, 0.500), W at (0.500, 0.500, 0.500) and F at (0.000, 0.000, 0.000).

For the total energy, the calculation gives -3.77 eV per atom. The total magnetization comes out at 2.1 Bohr magnetons per cell. The calculation puts the density at 7.1 g cm⁻³.